1.
Computed, not measured: an optimized crystal structure of ZnSn2S at the PBE-GGA level of DFT.

Space-group type = Fm-3m, No. 225

a = 5.0082 Å, b = 5.0082 Å, c = 5.0082 Å
α = 60.00°, β = 60.00°, γ = 60.00°
Last column: nearest neighbours and their distance in Å.
Sites, in units of the cell vectors:
1 Zn 0.0000 0.0000 0.0000  8 Sn 3.07
2 Sn 0.2500 0.2500 0.2500  4 S 3.07, 4 Zn 3.07
3 Sn 0.7500 0.7500 0.7500  4 S 3.07, 4 Zn 3.07
4 S 0.5000 0.5000 0.5000  8 Sn 3.07

2.
Computed, not measured: an optimized crystal structure of Zn3SnS at the PBE-GGA level of DFT.

Space-group type = Pm-3m, No. 221
E above lowest polymorph = 0 meV/atom

a = 4.7864 Å, b = 4.7864 Å, c = 4.7864 Å
α = 90.00°, β = 90.00°, γ = 90.00°
Last column: nearest neighbours and their distance in Å.
Sites, in units of the cell vectors:
1 Zn 0.0000 0.0000 0.5000  2 S 2.39
2 Zn 0.0000 0.5000 0.0000  2 S 2.39
3 Zn 0.5000 0.0000 0.0000  2 S 2.39
4 Sn 0.5000 0.5000 0.5000  12 Zn 3.38
5 S 0.0000 0.0000 0.0000  6 Zn 2.39

3.
Computed, not measured: an optimized crystal structure of Zn3SnS at the PBE-GGA level of DFT.

Space-group type = Pm-3m, No. 221
E above lowest polymorph = 220 meV/atom

a = 5.0703 Å, b = 5.0703 Å, c = 5.0703 Å
α = 90.00°, β = 90.00°, γ = 90.00°
Last column: nearest neighbours and their distance in Å.
Sites, in units of the cell vectors:
1 Zn 0.0000 0.0000 0.5000  2 Sn 2.54
2 Zn 0.0000 0.5000 0.0000  2 Sn 2.54
3 Zn 0.5000 0.0000 0.0000  2 Sn 2.54
4 Sn 0.0000 0.0000 0.0000  6 Zn 2.54
5 S 0.5000 0.5000 0.5000  12 Zn 3.59

4.
Computed, not measured: an optimized crystal structure of Zn2SnS4 at the PBE-GGA level of DFT.

Space-group type = P-42m, No. 111

a = 6.0971 Å, b = 6.0971 Å, c = 4.8920 Å
α = 90.00°, β = 90.00°, γ = 90.00°
Last column: nearest neighbours and their distance in Å.
Sites, in units of the cell vectors:
1 Zn 0.0000 0.5000 0.0000  4 S 2.46
2 Zn 0.5000 0.0000 0.0000  4 S 2.46
3 Sn 0.0000 0.0000 0.0000  4 S 2.40
4 S 0.2431 0.2431 0.2402  1 Sn 2.40, 2 Zn 2.46
5 S 0.2431 0.7569 0.7598  1 Sn 2.40, 2 Zn 2.46
6 S 0.7569 0.2431 0.7598  1 Sn 2.40, 2 Zn 2.46
7 S 0.7569 0.7569 0.2402  1 Sn 2.40, 2 Zn 2.46

5.
Computed, not measured: an optimized crystal structure of ZnSn3S at the PBE-GGA level of DFT.

Space-group type = Pm-3m, No. 221
E above lowest polymorph = 40 meV/atom

a = 5.2013 Å, b = 5.2013 Å, c = 5.2013 Å
α = 90.00°, β = 90.00°, γ = 90.00°
Last column: nearest neighbours and their distance in Å.
Sites, in units of the cell vectors:
1 Zn 0.0000 0.0000 0.0000  6 Sn 2.60
2 Sn 0.0000 0.0000 0.5000  2 Zn 2.60
3 Sn 0.0000 0.5000 0.0000  2 Zn 2.60
4 Sn 0.5000 0.0000 0.0000  2 Zn 2.60
5 S 0.5000 0.5000 0.5000  12 Sn 3.68

6.
Computed, not measured: an optimized crystal structure of ZrSn3S at the PBE-GGA level of DFT.

Space-group type = Pm-3m, No. 221
E above lowest polymorph = 0 meV/atom

a = 5.1369 Å, b = 5.1369 Å, c = 5.1369 Å
α = 90.00°, β = 90.00°, γ = 90.00°
Last column: nearest neighbours and their distance in Å.
Sites, in units of the cell vectors:
1 Zr 0.0000 0.0000 0.0000  12 Sn 3.63
2 Sn 0.0000 0.5000 0.5000  2 S 2.57
3 Sn 0.5000 0.0000 0.5000  2 S 2.57
4 Sn 0.5000 0.5000 0.0000  2 S 2.57
5 S 0.5000 0.5000 0.5000  6 Sn 2.57

no.,formation energy (no corrections) (eV per atom),D(E_F) (states/eV/cell)
1,0.146,2.2
2,0.310,1.8
3,0.529,6.7
4,-0.417,0.0
5,0.443,3.4
6,0.409,4.6